Entry 1:
A geometry-optimized In10PdS10 structure, computed with PBE-GGA.

Geometry as POSCAR:
```
In10PdS10
1.0
-3.6108 5.9362 -2.8779
0.7370 -4.6893 -10.5974
-10.6103 -5.6084 1.7438
In S Pd
20 20 2
Direct
0.2482 0.3755 0.0907 In
0.0000 0.1431 0.2811 In
0.5000 0.8337 0.6521 In
0.7569 0.5000 0.5000 In
0.7518 0.3755 0.0907 In
0.5000 0.1663 0.3479 In
0.2482 0.8755 0.4093 In
0.0000 0.8569 0.7189 In
0.7518 0.8755 0.4093 In
0.7569 0.0000 0.0000 In
0.7518 0.6245 0.9093 In
0.2431 0.0000 0.0000 In
0.2482 0.1245 0.5907 In
0.2431 0.5000 0.5000 In
0.0000 0.6431 0.2189 In
0.0000 0.3569 0.7811 In
0.5000 0.3337 0.8479 In
0.7518 0.1245 0.5907 In
0.2482 0.6245 0.9093 In
0.5000 0.6663 0.1521 In
0.5000 0.1112 0.8909 S
0.5000 0.8888 0.1091 S
0.7205 0.6700 0.3223 S
0.0000 0.2233 0.4670 S
0.0000 0.2767 0.9670 S
0.5000 0.6112 0.6091 S
0.7205 0.3300 0.6777 S
0.2795 0.3300 0.6777 S
0.0000 0.9276 0.2720 S
0.0000 0.0724 0.7280 S
0.0000 0.7767 0.5330 S
0.2795 0.8300 0.8223 S
0.0000 0.5724 0.7720 S
0.5000 0.3888 0.3909 S
0.7205 0.1700 0.1777 S
0.0000 0.7233 0.0330 S
0.0000 0.4276 0.2280 S
0.2795 0.6700 0.3223 S
0.2795 0.1700 0.1777 S
0.7205 0.8300 0.8223 S
0.5000 0.5000 0.0000 Pd
0.5000 0.0000 0.5000 Pd
```

The calculation puts the calculated total energy at -83.96 eV per formula unit.

Entry 2:
A geometry-optimized SmCu2SiGe structure, computed with PBE-GGA.

Geometry as POSCAR:
```
SmCu2SiGe
1.0
5.7049 0.1558 1.1597
2.7128 5.0673 0.9373
-4.7748 -2.8289 1.7646
Si Cu Ge Sm
1 2 1 1
Direct
0.6237 0.6237 0.0000 Si
0.7458 0.2458 0.5000 Cu
0.2458 0.7458 0.5000 Cu
0.3829 0.3829 0.0000 Ge
0.0017 0.0017 0.0000 Sm
```

The calculation puts the calculated total energy at -25.01 eV per formula unit. Its total magnetization is 0.001 μB per formula unit.

Entry 3:
A geometry-optimized Dy3InS6 structure, computed with PBE-GGA.

Geometry as POSCAR:
```
Dy3InS6
1.0
-3.0452 6.3637 -4.8608
0.2761 -6.5922 -5.4648
-6.1630 -1.6587 1.6895
Dy S In
6 12 2
Direct
0.4119 0.2149 0.7744 Dy
0.7851 0.5881 0.7744 Dy
0.2149 0.4119 0.2744 Dy
0.5881 0.7851 0.2744 Dy
0.0954 0.9046 0.3628 Dy
0.9046 0.0954 0.8628 Dy
0.8067 0.8683 0.5704 S
0.8683 0.8067 0.0704 S
0.2797 0.7203 0.1178 S
0.0550 0.5989 0.5433 S
0.7203 0.2797 0.6178 S
0.5327 0.4672 0.0786 S
0.5989 0.0550 0.0433 S
0.1317 0.1933 0.5704 S
0.1933 0.1317 0.0704 S
0.4011 0.9450 0.5433 S
0.4672 0.5327 0.5786 S
0.9450 0.4011 0.0433 S
0.7013 0.2987 0.2497 In
0.2987 0.7013 0.7497 In
```

For the energy above the most stable polymorph in this dataset, the calculation gives 0.000 eV/atom. Its total magnetization is 0.001 μB per formula unit.

Entry 4:
A geometry-optimized Gd3Mg3TlIn2 structure, computed with PBE-GGA.

Geometry as POSCAR:
```
Gd3Mg3TlIn2
1.0
-1.9452 -4.4924 5.7804
2.9452 -2.9980 -6.3021
4.3111 0.4501 1.8006
Mg Tl Gd In
3 1 3 2
Direct
0.2427 0.0000 0.5000 Mg
0.7573 0.7573 0.5000 Mg
0.0000 0.2427 0.5000 Mg
0.0000 0.0000 0.0000 Tl
0.0000 0.5676 0.0000 Gd
0.4324 0.4324 0.0000 Gd
0.5676 0.0000 0.0000 Gd
0.6667 0.3333 0.5000 In
0.3333 0.6667 0.5000 In
```

The calculation puts the calculated total energy at -29.93 eV per formula unit. Its total magnetization is 0.005 μB per formula unit.

Entry 5:
A geometry-optimized Li2BePt structure, computed with PBE-GGA.

Geometry as POSCAR:
```
Li2BePt
1.0
0.0000 2.8477 2.8477
2.8477 0.0000 2.8477
2.8477 2.8477 0.0000
Be Li Pt
1 2 1
Direct
0.5000 0.5000 0.5000 Be
0.0000 0.0000 0.0000 Li
0.7500 0.7500 0.7500 Li
0.2500 0.2500 0.2500 Pt
```

The calculation puts the calculated total energy at -15.39 eV per formula unit. Its total magnetization is 0.000 μB per formula unit.

Entry 6:
A geometry-optimized MgHgB4 structure, computed with PBE-GGA.

Geometry as POSCAR:
```
MgHgB4
1.0
3.1119 0.0000 0.0000
-1.5560 2.6950 0.0000
0.0000 0.0000 7.6952
B Hg Mg
4 1 1
Direct
0.3333 0.6667 0.2182 B
0.6667 0.3333 0.7818 B
0.3333 0.6667 0.7818 B
0.6667 0.3333 0.2182 B
0.0000 0.0000 0.5000 Hg
0.0000 0.0000 0.0000 Mg
```

For the energy above the most stable polymorph in this dataset, the calculation gives 0.008 eV/atom.

Entry 7:
A geometry-optimized HoGeHO4 structure, computed with PBE-GGA.

Geometry as POSCAR:
```
HoGeHO4
1.0
5.1807 0.0000 0.0000
0.0000 11.5408 0.0000
0.0000 0.0000 4.7613
Ho O H Ge
4 16 4 4
Direct
0.0000 0.8809 0.7500 Ho
0.5000 0.6191 0.2500 Ho
0.0000 0.1191 0.2500 Ho
0.5000 0.3809 0.7500 Ho
0.8793 0.7033 0.4746 O
0.1207 0.2967 0.5254 O
0.2366 0.0406 0.5886 O
0.2634 0.5406 0.5886 O
0.7366 0.5406 0.9114 O
0.2634 0.4594 0.0886 O
0.6207 0.7967 0.9746 O
0.1207 0.7033 0.0254 O
0.3793 0.7967 0.5254 O
0.7634 0.9594 0.4114 O
0.3793 0.2033 0.0254 O
0.7634 0.0406 0.9114 O
0.6207 0.2033 0.4746 O
0.2366 0.9594 0.0886 O
0.7366 0.4594 0.4114 O
0.8793 0.2967 0.9746 O
0.0000 0.2982 0.7500 H
0.5000 0.7982 0.7500 H
0.0000 0.7018 0.2500 H
0.5000 0.2018 0.2500 H
0.0000 0.6067 0.7500 Ge
0.0000 0.3933 0.2500 Ge
0.5000 0.8933 0.2500 Ge
0.5000 0.1067 0.7500 Ge
```

For the energy above the most stable polymorph in this dataset, the calculation gives 0.033 eV/atom. Its total magnetization is 0.001 μB per formula unit.

Entry 8:
A geometry-optimized GaCuNiPd structure, computed with PBE-GGA.

Geometry as POSCAR:
```
GaCuNiPd
1.0
0.0000 2.9731 2.9731
2.9731 0.0000 2.9731
2.9731 2.9731 0.0000
Ga Pd Ni Cu
1 1 1 1
Direct
0.0000 0.0000 0.0000 Ga
0.5000 0.5000 0.5000 Pd
0.7500 0.7500 0.7500 Ni
0.2500 0.2500 0.2500 Cu
```

For the energy above the most stable polymorph in this dataset, the calculation gives 0.006 eV/atom. Its total magnetization is 0.002 μB per formula unit.

Entry 9:
A geometry-optimized Sr2NbAlO6 structure, computed with PBE-GGA.

Geometry as POSCAR:
```
Sr2NbAlO6
1.0
-4.2539 -2.8443 -2.0575
-5.0118 2.2934 -0.2007
-2.1844 1.4332 -4.8573
O Nb Sr Al
6 1 2 1
Direct
0.2440 0.2440 0.7560 O
0.7560 0.7560 0.2440 O
0.7560 0.2440 0.2440 O
0.2440 0.7560 0.7560 O
0.2440 0.7560 0.2440 O
0.7560 0.2440 0.7560 O
0.5000 0.5000 0.5000 Nb
0.2500 0.2500 0.2500 Sr
0.7500 0.7500 0.7500 Sr
0.0000 0.0000 0.0000 Al
```

The calculation puts the calculated total energy at -76.39 eV per formula unit. Its total magnetization is 0.000 μB per formula unit.

Entry 10:
A geometry-optimized HfTlTe2AuSe structure, computed with PBE-GGA.

Geometry as POSCAR:
```
HfTlTe2AuSe
1.0
-4.9669 0.9434 -6.1507
1.3856 -2.3714 7.4731
-2.5280 9.5932 3.5129
Hf Te Au Tl Se
2 4 2 2 2
Direct
0.5000 0.5000 0.0000 Hf
0.5000 0.5000 0.5000 Hf
0.1361 0.8639 0.9686 Te
0.8639 0.1361 0.0314 Te
0.1361 0.8639 0.5314 Te
0.8639 0.1361 0.4686 Te
0.0420 0.9580 0.7500 Au
0.9580 0.0420 0.2500 Au
0.2549 0.7451 0.2500 Tl
0.7451 0.2549 0.7500 Tl
0.5670 0.4330 0.2500 Se
0.4330 0.5670 0.7500 Se
```

The calculation puts the calculated total energy at -28.67 eV per formula unit. Its total magnetization is 0.006 μB per formula unit.

Entry 11:
A geometry-optimized KNbTl2F6 structure, computed with PBE-GGA.

Geometry as POSCAR:
```
KNbTl2F6
1.0
-0.9569 -5.5362 -2.8465
0.3194 -3.2539 5.3832
-3.9408 4.8576 -0.7360
K F Tl Nb
1 6 2 1
Direct
0.5000 0.5000 0.0000 K
0.1482 0.6971 0.8454 F
0.6971 0.8518 0.5489 F
0.3029 0.1482 0.4511 F
0.7687 0.7687 0.0000 F
0.2313 0.2313 0.0000 F
0.8518 0.3029 0.1546 F
0.2500 0.7500 0.5000 Tl
0.7500 0.2500 0.5000 Tl
0.0000 0.0000 0.0000 Nb
```

The calculation puts the calculated total energy at -50.14 eV per formula unit. Its total magnetization is 1.990 μB per formula unit.

Entry 12:
A geometry-optimized HoBeCu structure, computed with PBE-GGA.

Geometry as POSCAR:
```
HoBeCu
1.0
0.0000 3.1513 3.1513
3.1513 0.0000 3.1513
3.1513 3.1513 0.0000
Ho Be Cu
1 1 1
Direct
0.0000 0.0000 0.0000 Ho
0.2500 0.2500 0.2500 Be
0.7500 0.7500 0.7500 Cu
```

For the energy above the most stable polymorph in this dataset, the calculation gives 0.503 eV/atom. Its total magnetization is 0.002 μB per formula unit.

Entry 13:
A geometry-optimized Nb4CuSi structure, computed with PBE-GGA.

Geometry as POSCAR:
```
Nb4CuSi
1.0
6.2240 0.0000 0.0000
0.0000 6.2240 0.0000
0.0000 0.0000 5.0586
Cu Nb Si
2 8 2
Direct
0.0000 0.0000 0.7500 Cu
0.0000 0.0000 0.2500 Cu
0.8407 0.3425 0.0000 Nb
0.1593 0.3425 0.5000 Nb
0.1593 0.6575 0.0000 Nb
0.6575 0.8407 0.0000 Nb
0.3425 0.1593 0.0000 Nb
0.6575 0.1593 0.5000 Nb
0.8407 0.6575 0.5000 Nb
0.3425 0.8407 0.5000 Nb
0.5000 0.5000 0.2500 Si
0.5000 0.5000 0.7500 Si
```

The calculation puts the calculated total energy at -50.96 eV per formula unit. Its total magnetization is 0.001 μB per formula unit.

Entry 14:
A geometry-optimized HfIn2Hg structure, computed with PBE-GGA.

Geometry as POSCAR:
```
HfIn2Hg
1.0
0.0000 3.5926 3.5926
3.5926 0.0000 3.5926
3.5926 3.5926 0.0000
In Hf Hg
2 1 1
Direct
0.7500 0.7500 0.7500 In
0.0000 0.0000 0.0000 In
0.5000 0.5000 0.5000 Hf
0.2500 0.2500 0.2500 Hg
```

The calculation puts the calculated total energy at -14.73 eV per formula unit. Its total magnetization is 0.007 μB per formula unit.

Entry 15:
A geometry-optimized LaZnPbSe3 structure, computed with PBE-GGA.

Geometry as POSCAR:
```
LaZnPbSe3
1.0
0.7934 2.9514 -6.4765
-4.5708 -1.1310 5.3957
3.2570 9.5898 4.7692
Se Zn Pb La
6 2 2 2
Direct
0.6422 0.3578 0.5709 Se
0.3578 0.6422 0.4291 Se
0.9153 0.0847 0.7500 Se
0.0847 0.9153 0.2500 Se
0.3578 0.6422 0.0709 Se
0.6422 0.3578 0.9291 Se
0.5253 0.4747 0.7500 Zn
0.4747 0.5253 0.2500 Zn
0.2215 0.7785 0.7500 Pb
0.7785 0.2215 0.2500 Pb
0.0000 0.0000 0.5000 La
0.0000 0.0000 0.0000 La
```

The calculation puts the calculated total energy at -26.28 eV per formula unit. Its total magnetization is 0.010 μB per formula unit.

Entry 16:
A geometry-optimized TbNd2In3CuPt2 structure, computed with PBE-GGA.

Geometry as POSCAR:
```
TbNd2In3CuPt2
1.0
3.9515 0.0000 0.0000
0.0000 6.6894 3.8738
0.0000 -6.6894 3.8738
In Nd Cu Pt Tb
3 2 1 2 1
Direct
0.5000 0.2485 0.2485 In
0.5000 0.9977 0.7520 In
0.5000 0.7520 0.9977 In
0.0000 0.0005 0.4147 Nd
0.0000 0.4147 0.0005 Nd
0.0000 0.9975 0.9975 Cu
0.5000 0.6646 0.3392 Pt
0.5000 0.3392 0.6646 Pt
0.0000 0.5854 0.5854 Tb
```

The calculation puts the calculated total energy at -45.45 eV per formula unit. Its total magnetization is 0.006 μB per formula unit.

Entry 17:
A geometry-optimized Y6Ge2Pd structure, computed with PBE-GGA.

Geometry as POSCAR:
```
Y6Ge2Pd
1.0
7.9576 0.0000 0.0000
-3.9788 6.8915 0.0000
0.0000 0.0000 4.2417
Pd Y Ge
1 6 2
Direct
0.0000 0.0000 0.0000 Pd
0.0000 0.7414 0.5000 Y
0.7414 0.0000 0.5000 Y
0.2586 0.2586 0.5000 Y
0.5927 0.5927 0.0000 Y
0.4073 0.0000 0.0000 Y
0.0000 0.4073 0.0000 Y
0.3333 0.6667 0.5000 Ge
0.6667 0.3333 0.5000 Ge
```

The calculation puts the calculated total energy at -58.77 eV per formula unit. Its total magnetization is 2.556 μB per formula unit.

Entry 18:
A geometry-optimized CsTmSnSe3 structure, computed with PBE-GGA.

Geometry as POSCAR:
```
CsTmSnSe3
1.0
16.7635 0.0000 0.0000
0.0000 4.1775 0.0000
0.0000 0.0000 12.0413
Cs Se Tm Sn
4 12 4 4
Direct
0.2315 0.7500 0.9206 Cs
0.7315 0.7500 0.5794 Cs
0.7685 0.2500 0.0794 Cs
0.2685 0.2500 0.4206 Cs
0.0781 0.2500 0.7583 Se
0.0953 0.7500 0.4613 Se
0.1263 0.2500 0.1812 Se
0.6263 0.2500 0.3188 Se
0.5953 0.7500 0.0387 Se
0.8737 0.7500 0.8188 Se
0.3737 0.7500 0.6812 Se
0.5781 0.2500 0.7417 Se
0.9219 0.7500 0.2417 Se
0.9047 0.2500 0.5387 Se
0.4047 0.2500 0.9613 Se
0.4219 0.7500 0.2583 Se
0.4915 0.7500 0.8583 Tm
0.9915 0.7500 0.6417 Tm
0.0085 0.2500 0.3583 Tm
0.5085 0.2500 0.1417 Tm
0.0377 0.7500 0.0916 Sn
0.9623 0.2500 0.9084 Sn
0.5377 0.7500 0.4084 Sn
0.4623 0.2500 0.5916 Sn
```

For the energy above the most stable polymorph in this dataset, the calculation gives 0.000 eV/atom. Its total magnetization is 0.001 μB per formula unit.

Entry 19:
A geometry-optimized GdCuGeTe3 structure, computed with PBE-GGA.

Geometry as POSCAR:
```
GdCuGeTe3
1.0
4.1391 0.0000 0.0000
0.0000 11.1666 0.0000
-2.0695 0.0000 7.1236
Te Gd Cu Ge
6 2 2 2
Direct
0.3491 0.6754 0.6983 Te
0.3491 0.3246 0.6983 Te
0.6509 0.8246 0.3017 Te
0.9058 0.0000 0.8116 Te
0.0942 0.5000 0.1884 Te
0.6509 0.1754 0.3017 Te
0.0000 0.2500 0.0000 Gd
0.0000 0.7500 0.0000 Gd
0.5253 0.0000 0.0505 Cu
0.4747 0.5000 0.9495 Cu
0.2227 0.0000 0.4453 Ge
0.7773 0.5000 0.5547 Ge
```

For the energy above the most stable polymorph in this dataset, the calculation gives 0.000 eV/atom. Its total magnetization is 0.002 μB per formula unit.

Entry 20:
A geometry-optimized PrThPa structure, computed with PBE-GGA.

Geometry as POSCAR:
```
PrThPa
1.0
0.0000 3.7541 3.7541
3.7541 0.0000 3.7541
3.7541 3.7541 0.0000
Pa Pr Th
1 1 1
Direct
0.0000 0.0000 0.0000 Pa
0.2500 0.2500 0.2500 Pr
0.7500 0.7500 0.7500 Th
```

For the formation energy, the calculation gives 993.2 meV/atom. For the energy above the most stable polymorph in this dataset, the calculation gives 0.000 eV/atom. Its total magnetization is 0.201 μB per formula unit.

Entry 21:
A geometry-optimized LuPb2 structure, computed with PBE-GGA.

Geometry as POSCAR:
```
LuPb2
1.0
0.0000 4.4870 4.4870
4.4870 0.0000 4.4870
4.4870 4.4870 0.0000
Lu Pb
2 4
Direct
0.0000 0.0000 0.0000 Lu
0.2500 0.2500 0.2500 Lu
0.1250 0.6250 0.6250 Pb
0.6250 0.6250 0.1250 Pb
0.6250 0.6250 0.6250 Pb
0.6250 0.1250 0.6250 Pb
```

The calculation puts the calculated total energy at -11.71 eV per formula unit. Its total magnetization is 0.018 μB per formula unit.